{
  "formula": "NiGe2Rh",
  "functional": "PBEsol",
  "state": "optimized geometry",
  "e_tot_ev_per_atom": -6.26,
  "sg": "Fm-3m",
  "cell": [[4.226, 0.000, 0.000], [2.113, 3.659, 0.000], [2.113, 1.220, 3.450]],
  "species": ["Rh", "Ni", "Ge", "Ge"],
  "fractional_positions": [[0.500, 0.500, 0.500], [0.000, 0.000, 0.000], [0.250, 0.250, 0.250], [0.750, 0.750, 0.750]]
}

=====

{
  "formula": "NiGeS3",
  "functional": "PBEsol",
  "state": "optimized geometry",
  "e_tot_ev_per_atom": -4.61,
  "sg": "Pm-3m",
  "cell": [[4.406, 0.000, 0.000], [0.000, 4.406, 0.000], [0.000, 0.000, 4.406]],
  "species": ["Ni", "S", "S", "S", "Ge"],
  "fractional_positions": [[0.000, 0.000, 0.000], [0.500, 0.000, 0.000], [0.000, 0.500, 0.000], [0.000, 0.000, 0.500], [0.500, 0.500, 0.500]]
}